# Tl4HgCl, relaxed, DFT GGA-PBE
# electronic total energy: -48.64 eV for the cell shown
# formation energy from raw total energies: -0.09 eV per atom
data_Tl4HgCl
_chemical_formula_sum 'Tl16 Hg4 Cl4'
_cell_length_a 9.204
_cell_length_b 9.204
_cell_length_c 9.204
_cell_angle_alpha 90.00
_cell_angle_beta 90.00
_cell_angle_gamma 90.00
_symmetry_space_group_name_H-M 'F -4 3 m'
_symmetry_Int_Tables_number 216
_symmetry_space_group_name_Hall 'F -4 2 3'
loop_
_atom_site_label
_atom_site_fract_x
_atom_site_fract_y
_atom_site_fract_z
_atom_site_occupancy
Tl1 0.125 0.125 0.125 1
Hg1 0.000 0.000 0.500 1
Cl1 0.250 0.250 0.750 1